Entry 1:
A relaxed Ba2CaNpO5 crystal, computed with PBE.

The structure in POSCAR format:
```
Ba2CaNpO5
1.0
-3.3138 -1.5575 0.0855
4.9464 -6.2173 0.0125
0.2062 0.1870 11.3953
Ba Ca Np O
4 2 2 10
Cartesian
0.9605 -5.8565 8.9918
0.9150 -1.4982 8.1679
0.8913 -1.7194 3.2241
0.9096 -6.1024 2.5425
-1.3475 -0.8236 11.2141
3.2812 -6.6780 5.5254
0.2601 -4.5387 5.8479
1.4784 -3.1400 0.1019
2.4080 -5.1159 0.1408
-0.0886 -3.5621 10.1232
-1.4946 -0.6343 8.9633
1.9473 -3.7460 7.2361
1.1846 -6.4886 6.1641
-0.6687 -2.5621 5.8556
1.9820 -3.9761 4.3914
3.3469 -6.9412 3.2781
-0.1571 -3.8858 1.5754
0.5647 -1.1803 0.3871
```

Computed properties:
**Total magnetic moment**: 3.00 μB/f.u.
**Uncorrected energy**: -7.601 eV/atom
**Formation energy without anion corrections**: -2.759 eV per atom
**N(E_F)**: 0.865 states/eV per atom
**Theoretical density**: 6.5 g/cm3
**Symmetry**: Cmc2_1, No. 36

Entry 2:
A relaxed TaAs2Cl crystal, computed with PBE.

The structure in POSCAR format:
```
TaAs2Cl
1.0
3.4377 0.0000 0.0000
0.0000 3.4383 0.0157
0.0000 3.4079 6.6423
As Cl Ta
2 1 1
Cartesian
0.0000 3.4097 6.2913
0.0000 3.4213 3.6800
1.7188 1.7115 1.6645
1.7188 5.1346 4.9935
```

Computed properties:
**Total magnetic moment**: 0.00 μB/f.u.
**Uncorrected energy**: -5.925 eV/atom
**Formation energy without anion corrections**: -0.175 eV per atom
**Polymorph energy (0 for the lowest one)**: 0.74 eV per formula unit
**N(E_F)**: 0.516 states/eV per atom
**Theoretical density**: 7.8 g/cm3
**Symmetry**: P4/mmm, No. 123

Short version: calculated volume = 323 78 Å³/cell, in the order given.